The following is a PBE calculation of crystalline NaPrNd at its relaxed geometry, from OQMD via LeMat-Bulk. Values from VASP.

Cell and atoms, written as Quantum ESPRESSO input:
```
&SYSTEM
  ibrav = 0, nat = 12, ntyp = 3
/
ATOMIC_SPECIES
Na 22.99 Na.upf
Pr 140.91 Pr.upf
Nd 144.24 Nd.upf
CELL_PARAMETERS angstrom
7.7192 0.0000 0.0000
0.0000 7.7192 0.0000
0.0000 0.0000 7.7192
ATOMIC_POSITIONS angstrom
Na 0.0000 0.0000 0.0000
Na 0.0000 3.8596 3.8596
Na 3.8596 0.0000 3.8596
Na 3.8596 3.8596 0.0000
Pr 1.9298 1.9298 1.9298
Pr 1.9298 5.7894 5.7894
Pr 5.7894 1.9298 5.7894
Pr 5.7894 5.7894 1.9298
Nd 1.9298 1.9298 5.7894
Nd 1.9298 5.7894 1.9298
Nd 5.7894 1.9298 1.9298
Nd 5.7894 5.7894 5.7894
```

Uncorrected energy   -2.91 eV per atom
Crystal system   cubic